Here is crystalline Ho2Tm5CdRu2 at its relaxed geometry from Alexandria. Energies are from PBE.

```
20
Lattice="3.844 0.000 0.000 0.000 11.576 0.000 0.000 0.000 11.576" Properties=species:S:1:pos:R:3 pbc="T T T"
Tm 1.922 0.727 9.103
Tm 1.922 2.472 0.727
Tm 1.922 9.103 10.848
Tm 1.922 8.260 5.061
Tm 1.922 6.515 8.260
Tm 1.922 3.316 6.515
Tm 1.922 5.061 3.316
Tm 1.922 10.848 2.472
Tm 1.922 5.788 0.000
Tm 1.922 0.000 5.788
Ho 0.000 2.138 3.650
Ho 0.000 7.926 2.138
Ho 0.000 9.438 7.926
Ho 0.000 3.650 9.438
Cd 0.000 0.000 0.000
Cd 0.000 5.788 5.788
Ru 0.000 7.277 10.087
Ru 0.000 10.087 4.299
Ru 0.000 4.299 1.489
Ru 0.000 1.489 7.277
```

Computed properties:
- ΔH_f (0 K) (eV/atom) = -0.32
- symmetry = No. 127